Computed, not measured: crystalline Y2Mo3O12 at its relaxed geometry at the GGA+U level of DFT.

* energy: -7.76 eV per atom
* relative energy among the computed polymorphs: 0.027 eV per atom
* mass density: 3.7 g/cm³

Unit cell a=7.469 b=7.469 c=10.723 alpha=90.00 beta=90.00 gamma=90.00
Space group P-42_1m (No. 113)
Unique sites:
Y 0.187 0.313 0.237
Mo 0.000 0.000 0.500
Mo 0.207 0.293 0.856
O 0.005 0.775 0.797
O 0.046 0.190 0.403
O 0.126 0.626 0.192
O 0.195 0.305 0.022